1.
Entry from Alexandria via LeMat-Bulk: crystalline LiYHf3 at its relaxed geometry (PBE).

Output
calculated formation energy: 7.9 eV/f.u.
symmetry: Pm-3m, No. 221
D(E_F): 7.52 states/eV/f.u.
calculated total energy: -0.4464 Ry/atom

Cell lengths 5.269, 5.269, 5.269 Å; angles 90.00, 90.00, 90.00 degrees
Fractional coordinates of all 5 atoms:
Hf  0.000  0.000  0.500
Hf  0.500  0.000  0.000
Hf  0.000  0.500  0.000
Li  0.500  0.500  0.500
Y  0.000  0.000  0.000

---

2.
Entry from Alexandria via LeMat-Bulk: crystalline Li2Y2Hf at its relaxed geometry (PBE).

Output
calculated formation energy: 1.5 eV/f.u.
symmetry: P4/mbm, No. 127
D(E_F): 4.25 states/eV/f.u.
calculated total energy: -0.3700 Ry/atom

Cell lengths 8.476, 8.476, 3.335 Å; angles 90.00, 90.00, 90.00 degrees
Fractional coordinates of all 10 atoms:
Hf  0.500  0.500  0.000
Hf  0.000  0.000  0.000
Li  0.112  0.388  0.000
Li  0.612  0.112  0.000
Li  0.888  0.612  0.000
Li  0.388  0.888  0.000
Y  0.690  0.810  0.500
Y  0.190  0.690  0.500
Y  0.310  0.190  0.500
Y  0.810  0.310  0.500

---

3.
Entry from Alexandria via LeMat-Bulk: crystalline Li3YHf at its relaxed geometry (PBE).

Output
polymorph energy (0 for the lowest one): 0.0 meV per atom
calculated formation energy: 5.4 eV/f.u.
symmetry: Pm-3m, No. 221
D(E_F): 6.75 states/eV/f.u.
calculated total energy: -0.2470 Ry/atom

Cell lengths 5.023, 5.023, 5.023 Å; angles 90.00, 90.00, 90.00 degrees
Last column: magnetic moment on the atom in μB.
Fractional coordinates of all 5 atoms:
Li  0.000  0.000  0.500  0.03
Li  0.000  0.500  0.000  0.04
Li  0.500  0.000  0.000  0.06
Y  0.500  0.500  0.500  0.24
Hf  0.000  0.000  0.000  1.21

---

4.
Entry from Alexandria via LeMat-Bulk: crystalline LiYHf2 at its relaxed geometry (PBE).

Output
polymorph energy (0 for the lowest one): 0.0 meV per atom
calculated formation energy: 2.1 eV/f.u.
symmetry: Fm-3m, No. 225
D(E_F): 7.84 states/eV/f.u.
calculated total energy: -0.4810 Ry/atom

Cell lengths 5.051, 5.051, 5.051 Å; angles 60.00, 60.00, 60.00 degrees
Fractional coordinates of all 4 atoms:
Hf  0.250  0.250  0.250
Hf  0.750  0.750  0.750
Li  0.000  0.000  0.000
Y  0.500  0.500  0.500

---

5.
Entry from Alexandria via LeMat-Bulk: crystalline LiHf2Zn at its relaxed geometry (PBE).

Output
calculated formation energy: 0.3 eV/f.u.
symmetry: P4/mmm, No. 123
D(E_F): 4.30 states/eV/f.u.
calculated total energy: -0.4187 Ry/atom

Cell lengths 3.425, 4.589, 4.589 Å; angles 90.00, 90.00, 90.00 degrees
Fractional coordinates of all 4 atoms:
Hf  0.000  0.000  0.500
Hf  0.000  0.500  0.000
Li  0.500  0.000  0.000
Zn  0.500  0.500  0.500

---

6.
Entry from Alexandria via LeMat-Bulk: crystalline Li2HfZn2 at its relaxed geometry (PBE).

Output
polymorph energy (0 for the lowest one): 107.3 meV per atom
calculated formation energy: 0.3 eV/f.u.
symmetry: P4/mbm, No. 127
D(E_F): 3.37 states/eV/f.u.
calculated total energy: -0.2361 Ry/atom

Cell lengths 7.630, 7.630, 2.805 Å; angles 90.00, 90.00, 90.00 degrees
Fractional coordinates of all 10 atoms:
Zn  0.631  0.131  0.000
Zn  0.131  0.369  0.000
Zn  0.869  0.631  0.000
Zn  0.369  0.869  0.000
Li  0.166  0.666  0.500
Li  0.334  0.166  0.500
Li  0.834  0.334  0.500
Li  0.666  0.834  0.500
Hf  0.000  0.000  0.000
Hf  0.500  0.500  0.000

---

7.
Entry from Alexandria via LeMat-Bulk: crystalline LiHfZn17 at its relaxed geometry (PBE).

Output
calculated formation energy: -1.2 eV/f.u.
symmetry: R3m, No. 160
D(E_F): 5.08 states/eV/f.u.
calculated total energy: -0.1343 Ry/atom

Cell lengths 6.714, 6.714, 6.714 Å; angles 82.17, 82.17, 82.17 degrees
Fractional coordinates of all 19 atoms:
Zn  0.644  0.177  0.644
Zn  0.177  0.644  0.644
Zn  0.695  0.311  0.999
Zn  0.505  0.001  0.001
Zn  0.349  0.349  0.848
Zn  0.848  0.349  0.349
Zn  0.999  0.311  0.695
Zn  0.001  0.001  0.505
Zn  0.644  0.644  0.177
Zn  0.104  0.104  0.104
Zn  0.311  0.695  0.999
Zn  0.695  0.999  0.311
Zn  0.349  0.848  0.349
Zn  0.999  0.695  0.311
Zn  0.311  0.999  0.695
Zn  0.901  0.901  0.901
Zn  0.001  0.505  0.001
Li  0.634  0.634  0.634
Hf  0.333  0.333  0.333

---

8.
Entry from Alexandria via LeMat-Bulk: crystalline LiHfZn at its relaxed geometry (PBE).

Output
polymorph energy (0 for the lowest one): 47.8 meV per atom
calculated formation energy: 0.2 eV/f.u.
symmetry: R-3m, No. 166
D(E_F): 2.01 states/eV/f.u.
calculated total energy: -0.3164 Ry/atom

Cell lengths 3.075, 3.075, 15.197 Å; angles 84.19, 84.19, 60.00 degrees
Fractional coordinates of all 6 atoms:
Hf  0.139  0.139  0.582
Hf  0.861  0.861  0.418
Zn  0.753  0.753  0.741
Zn  0.247  0.247  0.259
Li  0.695  0.695  0.915
Li  0.305  0.305  0.085

---

9.
Entry from Alexandria via LeMat-Bulk: crystalline Li2Hf2Zn15 at its relaxed geometry (PBE).

Output
calculated formation energy: -2.1 eV/f.u.
symmetry: R-3m, No. 166
D(E_F): 5.28 states/eV/f.u.
calculated total energy: -0.1737 Ry/atom

Cell lengths 6.655, 6.655, 6.655 Å; angles 82.79, 82.79, 82.79 degrees
Fractional coordinates of all 19 atoms:
Zn  0.302  0.000  0.698
Zn  0.353  0.353  0.840
Zn  0.160  0.647  0.647
Zn  0.000  0.500  0.000
Zn  0.000  0.302  0.698
Zn  0.353  0.840  0.353
Zn  0.000  0.698  0.302
Zn  0.698  0.000  0.302
Zn  0.647  0.160  0.647
Zn  0.698  0.302  0.000
Zn  0.500  0.000  0.000
Zn  0.647  0.647  0.160
Zn  0.840  0.353  0.353
Zn  0.302  0.698  0.000
Zn  0.000  0.000  0.500
Hf  0.655  0.655  0.655
Hf  0.345  0.345  0.345
Li  0.899  0.899  0.899
Li  0.101  0.101  0.101

---

10.
Entry from Alexandria via LeMat-Bulk: crystalline LiHfZn at its relaxed geometry (PBE).

Output
polymorph energy (0 for the lowest one): 29.3 meV per atom
calculated formation energy: 0.2 eV/f.u.
symmetry: I4mm, No. 107
D(E_F): 2.62 states/eV/f.u.
calculated total energy: -0.3177 Ry/atom

Cell lengths 2.952, 2.952, 6.478 Å; angles 103.17, 103.17, 90.00 degrees
Fractional coordinates of all 3 atoms:
Li  0.315  0.315  0.630
Hf  0.012  0.012  0.024
Zn  0.673  0.673  0.347

---

11.
Entry from Alexandria via LeMat-Bulk: crystalline LiHfZn at its relaxed geometry (PBE).

Output
polymorph energy (0 for the lowest one): 0.0 meV per atom
calculated formation energy: 0.1 eV/f.u.
symmetry: P-6m2, No. 187
D(E_F): 1.51 states/eV/f.u.
calculated total energy: -0.3199 Ry/atom

Cell lengths 2.797, 4.594, 4.594 Å; angles 120.00, 90.00, 90.00 degrees
Fractional coordinates of all 3 atoms:
Hf  0.667  0.333  0.667
Zn  0.167  0.000  0.000
Li  0.166  0.667  0.333

---

12.
Entry from Alexandria via LeMat-Bulk: crystalline LiHfZn4 at its relaxed geometry (PBE).

Output
polymorph energy (0 for the lowest one): 170.1 meV per atom
calculated formation energy: 0.5 eV/f.u.
symmetry: Pmmm, No. 47
D(E_F): 2.02 states/eV/f.u.
calculated total energy: -0.2020 Ry/atom

Cell lengths 2.812, 7.747, 4.700 Å; angles 89.98, 90.00, 90.00 degrees
Fractional coordinates of all 6 atoms:
Hf  0.500  0.500  0.500
Zn  0.500  0.312  0.000
Zn  0.000  0.168  0.500
Zn  0.500  0.688  0.000
Zn  0.000  0.832  0.500
Li  0.000  0.000  0.000

---

13.
Entry from Alexandria via LeMat-Bulk: crystalline LiHf2Zn at its relaxed geometry (PBE).

Output
calculated formation energy: 1.7 eV/f.u.
symmetry: I-42d, No. 122
D(E_F): 2.82 states/eV/f.u.
calculated total energy: -0.3937 Ry/atom

Cell lengths 7.513, 7.513, 5.969 Å; angles 51.00, 51.00, 90.00 degrees
Fractional coordinates of all 8 atoms:
Li  0.500  0.500  0.000
Li  0.250  0.750  0.500
Zn  0.750  0.250  0.500
Zn  0.000  0.000  0.000
Hf  0.375  0.370  0.750
Hf  0.120  0.625  0.250
Hf  0.875  0.880  0.750
Hf  0.630  0.125  0.250